[1]
First-principles (meta-GGA SCAN) data for Y4CoTc at its PBEsol-relaxed geometry, as listed in Alexandria via LeMat-Bulk.

The structure in POSCAR format:
```
Y4CoTc
1.0
0.000 4.104 4.104
4.104 0.000 4.104
4.104 4.104 0.000
Y Co Tc
4 1 1
Cartesian
1.022 1.022 1.022
3.081 3.081 1.022
3.081 1.022 3.081
1.022 3.081 3.081
4.104 4.104 4.104
6.155 6.155 6.155
```

Calculated values
Formation energy from the elements ... 1135 meV/atom
Uncorrected energy ... -26.154 eV/atom
Fermi-level density of states ... 1.5890 states/eV/atom

=====

[2]
First-principles (meta-GGA SCAN) data for YCo2Tc at its PBEsol-relaxed geometry, as listed in Alexandria via LeMat-Bulk.

The structure in POSCAR format:
```
YCo2Tc
1.0
2.781 0.000 0.000
0.000 3.283 0.000
0.000 0.000 6.460
Y Co Tc
1 2 1
Cartesian
0.000 0.000 0.000
1.391 1.642 1.992
1.391 1.642 4.468
0.000 0.000 3.230
```

Calculated values
Formation energy from the elements ... 313 meV/atom
Uncorrected energy ... -24.065 eV/atom
Fermi-level density of states ... 1.1803 states/eV/atom

=====

[3]
First-principles (meta-GGA SCAN) data for YCoTc at its PBEsol-relaxed geometry, as listed in Alexandria via LeMat-Bulk.

The structure in POSCAR format:
```
YCoTc
1.0
3.897 0.000 0.000
-1.949 3.375 0.000
0.000 0.000 4.193
Y Co Tc
1 1 1
Cartesian
0.000 0.000 0.000
0.000 2.250 2.096
1.949 1.125 2.096
```

Calculated values
Formation energy from the elements ... 13 meV/atom
Uncorrected energy ... -26.723 eV/atom
Fermi-level density of states ... 0.7010 states/eV/atom

=====

[4]
First-principles (meta-GGA SCAN) data for Y2CoTc at its PBEsol-relaxed geometry, as listed in Alexandria via LeMat-Bulk.

The structure in POSCAR format:
```
Y2CoTc
1.0
3.956 0.000 0.000
0.000 4.310 0.000
0.000 0.000 9.872
Y Co Tc
4 2 2
Cartesian
0.000 0.000 0.000
0.000 2.155 4.936
1.978 0.000 2.923
1.978 2.155 7.859
0.000 0.000 6.951
0.000 2.155 2.015
1.978 0.000 5.937
1.978 2.155 1.001
```

Calculated values
Formation energy from the elements ... -81 meV/atom
Uncorrected energy ... -27.094 eV/atom
Fermi-level density of states ... 0.8658 states/eV/atom

=====

[5]
First-principles (meta-GGA SCAN) data for ZnCoTc2 at its PBEsol-relaxed geometry, as listed in Alexandria via LeMat-Bulk.

The structure in POSCAR format:
```
ZnCoTc2
1.0
5.912 0.000 0.000
0.000 5.912 0.000
0.000 0.000 5.912
Zn Co Tc
4 4 8
Cartesian
0.000 0.000 0.000
0.000 2.956 2.956
2.956 0.000 2.956
2.956 2.956 0.000
1.478 1.478 4.434
1.478 4.434 1.478
4.434 1.478 1.478
4.434 4.434 4.434
0.000 0.000 2.956
0.000 2.956 0.000
1.478 1.478 1.478
1.478 4.434 4.434
2.956 0.000 0.000
2.956 2.956 2.956
4.434 1.478 4.434
4.434 4.434 1.478
```

Calculated values
Formation energy from the elements ... 96 meV/atom
Uncorrected energy ... -25.139 eV/atom
Fermi-level density of states ... 0.8348 states/eV/atom

=====

[6]
First-principles (meta-GGA SCAN) data for ZnCoTc2 at its PBEsol-relaxed geometry, as listed in Alexandria via LeMat-Bulk.

The structure in POSCAR format:
```
ZnCoTc2
1.0
3.566 0.000 0.000
0.000 3.566 0.000
0.000 0.000 7.969
Zn Co Tc
2 2 4
Cartesian
0.000 0.000 0.000
1.783 1.783 3.984
0.000 0.000 3.984
1.783 1.783 0.000
0.000 1.783 1.992
0.000 1.783 5.977
1.783 0.000 1.992
1.783 0.000 5.977
```

Calculated values
Formation energy from the elements ... 158 meV/atom
Uncorrected energy ... -25.077 eV/atom
Fermi-level density of states ... 0.7300 states/eV/atom

=====

[7]
First-principles (meta-GGA SCAN) data for ZnCoTc2 at its PBEsol-relaxed geometry, as listed in Alexandria via LeMat-Bulk.

The structure in POSCAR format:
```
ZnCoTc2
1.0
3.567 0.000 0.000
0.000 3.567 0.000
0.000 0.000 4.001
Zn Co Tc
1 1 2
Cartesian
0.000 0.000 0.000
1.784 1.784 0.000
0.000 1.784 2.001
1.784 0.000 2.001
```

Calculated values
Formation energy from the elements ... 195 meV/atom
Uncorrected energy ... -25.040 eV/atom
Fermi-level density of states ... 0.6965 states/eV/atom

=====

[8]
First-principles (meta-GGA SCAN) data for ZrCo3Tc at its PBEsol-relaxed geometry, as listed in Alexandria via LeMat-Bulk.

The structure in POSCAR format:
```
ZrCo3Tc
1.0
4.295 0.000 0.000
0.000 4.295 0.000
0.000 0.000 4.295
Zr Co Tc
1 3 1
Cartesian
0.000 0.000 0.000
0.000 2.148 2.148
2.148 0.000 2.148
2.148 2.148 0.000
2.148 2.148 2.148
```

Calculated values
Formation energy from the elements ... 1051 meV/atom
Uncorrected energy ... -22.484 eV/atom
Fermi-level density of states ... 1.2283 states/eV/atom